(1)
A plane-wave DFT calculation with PBE was carried out for MgSnAs2Se after structural relaxation.

Cell lengths 4.965, 4.965, 5.223 Å; angles 90.00, 90.00, 90.00 degrees
Fractional positions:
Mg1 0.000 0.000 0.000
As1 0.000 0.500 0.000
As2 0.500 0.000 0.000
Sn1 0.500 0.500 0.500
Se1 0.000 0.000 0.500

Results
As for the distance to the lowest polymorph of the same formula: 0 meV/atom. Its total energy is -3.33 eV/atom. The calculated volume is 129 Å³/f.u.

(2)
A plane-wave DFT calculation with PBE was carried out for SrMgAs2Se after structural relaxation.

Cell lengths 5.001, 5.001, 5.313 Å; angles 90.00, 90.00, 90.00 degrees
Fractional positions:
Sr1 0.500 0.500 0.500
As1 0.000 0.500 0.000
As2 0.500 0.000 0.000
Mg1 0.000 0.000 0.000
Se1 0.000 0.000 0.500

Results
As for the distance to the lowest polymorph of the same formula: 0 meV/atom. Its total energy is -3.57 eV/atom. The calculated volume is 133 Å³/f.u.

(3)
A plane-wave DFT calculation with PBE was carried out for SrMgAs2Se after structural relaxation.

Cell lengths 5.621, 5.621, 5.633 Å; angles 90.00, 90.00, 90.00 degrees
Last column: magnetic moment on the atom in μB.
Fractional positions:
Sr1 0.000 0.000 0.000  0.00
As1 0.000 0.500 0.000  0.08
As2 0.500 0.000 0.000  0.08
Mg1 0.500 0.500 0.500  -0.01
Se1 0.000 0.000 0.500  0.05

Results
As for the distance to the lowest polymorph of the same formula: 918 meV/atom. Its total energy is -2.65 eV/atom. The calculated volume is 178 Å³/f.u.

(4)
A plane-wave DFT calculation with PBE was carried out for SrMgAsSe2 after structural relaxation.

Cell lengths 5.236, 5.236, 4.913 Å; angles 90.00, 90.00, 90.00 degrees
Fractional positions:
Sr1 0.500 0.500 0.500
As1 0.000 0.000 0.500
Mg1 0.000 0.000 0.000
Se1 0.000 0.500 0.000
Se2 0.500 0.000 0.000

Results
As for the distance to the lowest polymorph of the same formula: 0 meV/atom. Its total energy is -3.60 eV/atom. The calculated volume is 135 Å³/f.u.

(5)
A plane-wave DFT calculation with PBE was carried out for SrMgAsSe2 after structural relaxation.

Cell lengths 5.673, 5.673, 5.624 Å; angles 90.00, 90.00, 90.00 degrees
Last column: magnetic moment on the atom in μB.
Fractional positions:
Sr1 0.000 0.000 0.000  0.00
As1 0.000 0.000 0.500  0.13
Mg1 0.500 0.500 0.500  -0.01
Se1 0.000 0.500 0.000  0.05
Se2 0.500 0.000 0.000  0.05

Results
As for the distance to the lowest polymorph of the same formula: 900 meV/atom. Its total energy is -2.70 eV/atom. The calculated volume is 181 Å³/f.u.

(6)
A plane-wave DFT calculation with PBE was carried out for MgTaAsSe2 after structural relaxation.

Cell lengths 4.992, 4.992, 5.156 Å; angles 90.00, 90.00, 90.00 degrees
Fractional positions:
As1 0.000 0.000 0.500
Mg1 0.500 0.500 0.500
Se1 0.000 0.500 0.000
Se2 0.500 0.000 0.000
Ta1 0.000 0.000 0.000

Results
As for the distance to the lowest polymorph of the same formula: 0 meV/atom. Its total energy is -5.11 eV/atom. The calculated volume is 129 Å³/f.u.

no.,raw formation energy (eV per atom)
1,0.351
2,-0.360
3,0.558
4,-0.620
5,0.281
6,-0.096